Entry 1:
The following is a DFT calculation (GGA-PBE) of an optimized crystal structure of CuHg2As.

The structure belongs to space group C2/m (No. 12); the cell edges are 8.2465, 3.0743 and 6.6187 Å and the angles 90.00°, 100.27° and 90.00°. Symmetry generates all atoms from Cu at (0.0000, 0.0000, 0.0000), Hg at (0.2366, 0.5000, 0.2279) and As at (0.0000, 0.5000, 0.5000).

The density of states at the Fermi level comes out at 2.78 states/eV per cell. As for the formation energy: 0.3097 eV/atom.

***

Entry 2:
The following is a DFT calculation (GGA-PBE) of an optimized crystal structure of HfNbSi.

The structure belongs to space group Amm2 (No. 38); the cell edges are 8.3163, 5.5257 and 9.3929 Å and the angles 90.00°, 90.00° and 90.00°. Symmetry generates all atoms from Hf at (0.1898, 0.0000, 0.0000), Hf at (0.3042, 0.0000, 0.6678), Nb at (0.2255, 0.0000, 0.3364), Nb at (0.5000, 0.2478, 0.9205), Si at (0.0000, 0.0000, 0.5259), Si at (0.0000, 0.2183, 0.7495) and Si at (0.5000, 0.0000, 0.1688).

The calculated total energy comes out at -8.850 eV/atom. The density of states at the Fermi level comes out at 24.23 states/eV per cell.

***

Entry 3:
The following is a DFT calculation (GGA-PBE) of an optimized crystal structure of HoZnRh.

The structure belongs to space group I4mm (No. 107); the cell edges are 3.4129, 3.4129 and 9.5166 Å and the angles 90.00°, 90.00° and 90.00°. Symmetry generates all atoms from Ho at (0.0000, 0.0000, 0.0000), Zn at (0.0000, 0.0000, 0.6961) and Rh at (0.0000, 0.0000, 0.3274).

The density of states at the Fermi level comes out at 5.19 states/eV per cell. As for the formation energy: -0.5727 eV/atom.